Entry 1:
Ce4Si3GeRh12: relaxed, PBE.

Raw total energy ... -143.6 eV/cell
ρ ... 8.73 g cm⁻³
E_form (uncorrected) ... -10.72 eV per formula unit

a = 7.8427 Å, b = 7.8427 Å, c = 7.8427 Å
α = 109.47°, β = 109.47°, γ = 109.47°
Atoms (fractional coordinates):
Ce1 0.0000 0.0000 0.5000
Ce2 0.0000 0.5000 0.0000
Ce3 0.5000 0.0000 0.0000
Ce4 0.5000 0.5000 0.5000
Si1 0.0000 0.5000 0.5000
Si2 0.5000 0.0000 0.5000
Si3 0.5000 0.5000 0.0000
Ge1 0.0000 0.0000 0.0000
Rh1 0.0000 0.2555 0.2555
Rh2 0.0000 0.7445 0.7445
Rh3 0.2500 0.5000 0.7500
Rh4 0.2500 0.7500 0.5000
Rh5 0.2555 0.0000 0.2555
Rh6 0.2555 0.2555 0.0000
Rh7 0.5000 0.2500 0.7500
Rh8 0.5000 0.7500 0.2500
Rh9 0.7445 0.0000 0.7445
Rh10 0.7445 0.7445 0.0000
Rh11 0.7500 0.2500 0.5000
Rh12 0.7500 0.5000 0.2500



Entry 2:
CeSiGeRh2: relaxed, PBE.

Raw total energy ... -35.5 eV/cell
ρ ... 8.46 g cm⁻³
E_form (uncorrected) ... -4.83 eV per formula unit
Energy above the most stable polymorph in this dataset ... 0.000 eV per atom

a = 5.9138 Å, b = 5.9138 Å, c = 5.9138 Å
α = 139.14°, β = 139.14°, γ = 59.16°
Atoms (fractional coordinates):
Ce1 0.0000 0.0000 0.0000
Si1 0.6246 0.6246 0.0000
Ge1 0.3811 0.3811 0.0000
Rh1 0.2425 0.7425 0.5000
Rh2 0.7425 0.2425 0.5000



Entry 3:
Ce2SmGe3Rh4: relaxed, PBE.

Raw total energy ... -68.1 eV/cell
ρ ... 8.89 g cm⁻³
Energy relative to the elements ... -0.82 eV/atom

a = 4.1802 Å, b = 4.1802 Å, c = 11.3307 Å
α = 90.00°, β = 90.00°, γ = 90.00°
Atoms (fractional coordinates):
Ce1 0.0000 0.5000 0.2289
Ce2 0.5000 0.0000 0.7711
Sm1 0.0000 0.0000 0.5000
Ge1 0.0000 0.5000 0.8805
Ge2 0.5000 0.0000 0.1195
Ge3 0.5000 0.5000 0.5000
Rh1 0.0000 0.0000 0.0000
Rh2 0.0000 0.5000 0.6647
Rh3 0.5000 0.0000 0.3353
Rh4 0.5000 0.5000 0.0000



Entry 4:
CeSnGeRh3: relaxed, PBE.

Raw total energy ... -79.4 eV/cell
ρ ... 8.15 g cm⁻³
Energy relative to the elements ... -0.52 eV/atom

a = 8.5407 Å, b = 8.5407 Å, c = 5.6563 Å
α = 90.00°, β = 90.00°, γ = 140.77°
Atoms (fractional coordinates):
Ce1 0.2303 0.7697 0.7500
Ce2 0.7697 0.2303 0.2500
Sn1 0.3989 0.6011 0.2500
Sn2 0.6011 0.3989 0.7500
Ge1 0.0865 0.9135 0.2500
Ge2 0.9135 0.0865 0.7500
Rh1 0.2375 0.7625 0.2500
Rh2 0.2452 0.2452 0.0000
Rh3 0.2452 0.2452 0.5000
Rh4 0.7548 0.7548 0.0000
Rh5 0.7548 0.7548 0.5000
Rh6 0.7625 0.2375 0.7500